5
Lattice="-4.537 -2.007 -1.819 2.512 -1.791 -4.290 1.012 -4.548 2.492" Properties=species:S:1:pos:R:3 comment="MnAsBr3 GGA-PBEsol optimized geometry" raw_formation_energy_ev_per_atom=0.338 space_group="No. 221" pbc="T T T"
As 0.000 0.000 0.000
Mn -0.506 -4.173 -1.808
Br 1.256 -0.896 -2.145
Br 0.506 -2.274 1.246
Br -2.269 -1.003 -0.910

***

5
Lattice="-3.292 2.821 0.637 -2.637 -2.530 -2.418 -1.389 -2.571 4.205" Properties=species:S:1:pos:R:3 comment="MnNiAs2Br GGA-PBEsol optimized geometry" raw_formation_energy_ev_per_atom=0.760 space_group="No. 123" pbc="T T T"
Ni -3.659 -1.140 1.212
As -1.318 -1.265 -1.209
As -1.646 1.411 0.319
Mn 0.000 0.000 0.000
Br -0.695 -1.285 2.102

***

5
Lattice="-2.165 -4.139 0.790 2.851 -0.781 3.719 -3.119 2.175 2.848" Properties=species:S:1:pos:R:3 comment="MnNiAsBr2 GGA-PBEsol optimized geometry" raw_formation_energy_ev_per_atom=0.460 space_group="No. 123" pbc="T T T"
Ni 0.000 0.000 0.000
As -1.083 -2.070 0.395
Mn -1.216 -1.373 3.679
Br -1.559 1.088 1.424
Br 1.426 -0.391 1.859

***

5
Lattice="-0.693 4.287 -2.374 -4.105 0.824 2.686 2.721 2.345 3.440" Properties=species:S:1:pos:R:3 comment="MnAsPdBr2 GGA-PBEsol optimized geometry" raw_formation_energy_ev_per_atom=0.498 space_group="No. 123" pbc="T T T"
As -0.347 2.143 -1.187
Mn -1.038 3.728 1.876
Br 1.361 1.173 1.720
Br -2.052 0.412 1.343
Pd 0.000 0.000 0.000

***

5
Lattice="-4.719 0.558 0.140 -0.572 -4.423 -1.647 -0.068 -1.799 4.856" Properties=species:S:1:pos:R:3 comment="MnReAsBr2 GGA-PBEsol optimized geometry" raw_formation_energy_ev_per_atom=1.263 space_group="No. 123" pbc="T T T"
Re -2.679 -2.832 1.675
As -0.034 -0.900 2.428
Mn 0.000 0.000 0.000
Br -0.286 -2.211 -0.823
Br -2.359 0.279 0.070

***

5
Lattice="-0.236 2.779 -3.739 -4.761 -0.374 0.023 -0.286 3.817 2.855" Properties=species:S:1:pos:R:3 comment="MnAsRhBr2 GGA-PBEsol optimized geometry" raw_formation_energy_ev_per_atom=0.804 space_group="No. 123" pbc="T T T"
As -0.118 1.390 -1.870
Mn 0.000 0.000 0.000
Rh -2.641 3.111 -0.431
Br -0.143 1.909 1.427
Br -2.380 -0.187 0.011